[1]
DFT (PBEsol) results for crystalline SiTeAu2 at its relaxed geometry.

CIF file:
```
data_SiTeAu2
_space_group_name_H-M_alt 'I -4 m 2'
_space_group_IT_number 119
_space_group_name_Hall 'I -4 -2'
_cell_length_a 4.286
_cell_length_b 4.286
_cell_length_c 8.401
_cell_angle_alpha 90.00
_cell_angle_beta 90.00
_cell_angle_gamma 90.00
loop_
_atom_site_label
_atom_site_type_symbol
_atom_site_fract_x
_atom_site_fract_y
_atom_site_fract_z
Si1 Si 0.000 0.000 0.000
Te1 Te 0.000 0.500 0.250
Au1 Au 0.000 0.000 0.500
Au2 Au 0.000 0.500 0.750
```

- distance to the lowest polymorph of the same formula (meV/atom) = 344
- density (Mg/m³) = 11.8
- uncorrected formation energy (eV/atom) = 0.353
- total magnetic moment (μB/f.u.) = 0.0
- DFT total energy (eV/cell) = -31.42

[2]
DFT (PBEsol) results for crystalline RbNiH2 at its relaxed geometry.

CIF file:
```
data_RbNiH2
_space_group_name_H-M_alt 'F m -3 m'
_space_group_IT_number 225
_space_group_name_Hall '-F 4 2 3'
_cell_length_a 6.129
_cell_length_b 6.129
_cell_length_c 6.129
_cell_angle_alpha 90.00
_cell_angle_beta 90.00
_cell_angle_gamma 90.00
loop_
_atom_site_label
_atom_site_type_symbol
_atom_site_fract_x
_atom_site_fract_y
_atom_site_fract_z
Rb1 Rb 0.000 0.000 0.000
Ni1 Ni 0.000 0.000 0.500
H1 H 0.250 0.250 0.250
```

- density (Mg/m³) = 4.2
- total magnetic moment (μB/f.u.) = 1.1
- DFT total energy (eV/cell) = -37.29